1.
Below is a relaxed structure of LiYRh4, with properties calculated at the PBE level.

Cell lengths 5.2400, 5.2400, 5.2400 Å; angles 60.00, 60.00, 60.00 degrees
Closest atoms and distances in Å follow each position.
Element x y z (fractional)
Li 0.0000 0.0000 0.0000  12 Rh 3.07, 4 Y 3.21
Y 0.2500 0.2500 0.2500  12 Rh 3.07, 4 Li 3.21
Rh 0.1239 0.6254 0.6254  6 Rh 2.61-2.63
Rh 0.6254 0.1239 0.6254  6 Rh 2.61-2.63
Rh 0.6254 0.6254 0.1239  6 Rh 2.61-2.63
Rh 0.6254 0.6254 0.6254  6 Rh 2.61-2.63

Values from the calculation:
- ΔE_f (eV per atom) = -0.414
- crystal system = cubic

---

2.
Below is a relaxed structure of DyEr4Tl2, with properties calculated at the PBE level.

Cell lengths 9.0368, 9.0368, 5.2533 Å; angles 90.00, 90.00, 90.00 degrees
Closest atoms and distances in Å follow each position.
Element x y z (fractional)
Dy 0.0000 0.0000 0.0000  2 Tl 3.16
Dy 0.5000 0.5000 0.5000  2 Tl 3.16
Er 0.0733 0.3312 0.5000  3 Tl 3.03-3.15, 2 Er 3.30-3.33
Er 0.1688 0.5733 0.0000  3 Tl 3.03-3.15, 2 Er 3.30-3.33
Er 0.3312 0.0733 0.5000  3 Tl 3.03-3.15, 2 Er 3.30-3.33
Er 0.4267 0.8312 0.0000  3 Tl 3.03-3.15, 2 Er 3.30-3.33
Er 0.5733 0.1688 0.0000  3 Tl 3.03-3.15, 2 Er 3.30-3.33
Er 0.6688 0.9267 0.5000  3 Tl 3.03-3.15, 2 Er 3.30-3.33
Er 0.8312 0.4267 0.0000  3 Tl 3.03-3.15, 2 Er 3.30-3.33
Er 0.9267 0.6688 0.5000  3 Tl 3.03-3.15, 2 Er 3.30-3.33
Tl 0.2470 0.2470 0.0000  6 Er 3.03-3.15, 1 Dy 3.16
Tl 0.2530 0.7470 0.5000  6 Er 3.03-3.15, 1 Dy 3.16
Tl 0.7470 0.2530 0.5000  6 Er 3.03-3.15, 1 Dy 3.16
Tl 0.7530 0.7530 0.0000  6 Er 3.03-3.15, 1 Dy 3.16

Values from the calculation:
- ΔE_f (eV per atom) = -0.069
- crystal system = tetragonal
- relative energy among the computed polymorphs (meV per atom) = 5

---

3.
Below is a relaxed structure of Dy2PaAsO8, with properties calculated at the PBE level.

Cell lengths 4.9546, 4.9546, 6.7271 Å; angles 90.00, 90.00, 91.73 degrees
Closest atoms and distances in Å follow each position.
Element x y z (fractional)
Dy 0.0000 0.0000 0.2347  6 O 2.24-2.29
Dy 0.0000 0.0000 0.7653  6 O 2.24-2.29
Pa 0.5000 0.5000 0.5000  6 O 2.09-2.28
As 0.5000 0.5000 0.0000  6 O 1.83-1.94
O 0.1971 0.1971 0.5000  1 Pa 2.09, 2 Dy 2.24
O 0.2343 0.2343 0.0000  1 As 1.83
O 0.3223 0.6777 0.2181  1 As 1.94
O 0.3223 0.6777 0.7819  1 As 1.94
O 0.6777 0.3223 0.2181  1 As 1.94
O 0.6777 0.3223 0.7819  1 As 1.94
O 0.7657 0.7657 0.0000  1 As 1.83
O 0.8029 0.8029 0.5000  1 Pa 2.09, 2 Dy 2.24

Values from the calculation:
- crystal system = orthorhombic
- E_form (uncorrected) (meV per atom) = -2827

---

4.
Below is a relaxed structure of MgNiSn3, with properties calculated at the PBE level.

Cell lengths 5.0283, 5.0283, 5.0283 Å; angles 90.00, 90.00, 90.00 degrees
Closest atoms and distances in Å follow each position.
Element x y z (fractional)
Mg 0.0000 0.0000 0.0000  12 Sn 3.56
Ni 0.5000 0.5000 0.5000  6 Sn 2.51
Sn 0.0000 0.5000 0.5000  2 Ni 2.51
Sn 0.5000 0.0000 0.5000  2 Ni 2.51
Sn 0.5000 0.5000 0.0000  2 Ni 2.51

Values from the calculation:
- ΔE_f (eV per atom) = 0.081
- crystal system = cubic
- relative energy among the computed polymorphs (meV per atom) = 188

---

5.
Below is a relaxed structure of Rb2AgMo, with properties calculated at the PBE level.

Cell lengths 8.7583, 8.7583, 8.7583 Å; angles 90.00, 90.00, 90.00 degrees
Closest atoms and distances in Å follow each position.
Element x y z (fractional)
Rb 0.2500 0.2500 0.2500  4 Mo 3.79, 4 Ag 3.79
Rb 0.2500 0.2500 0.7500  4 Mo 3.79, 4 Ag 3.79
Rb 0.2500 0.7500 0.2500  4 Mo 3.79, 4 Ag 3.79
Rb 0.2500 0.7500 0.7500  4 Mo 3.79, 4 Ag 3.79
Rb 0.7500 0.2500 0.2500  4 Mo 3.79, 4 Ag 3.79
Rb 0.7500 0.2500 0.7500  4 Mo 3.79, 4 Ag 3.79
Rb 0.7500 0.7500 0.2500  4 Mo 3.79, 4 Ag 3.79
Rb 0.7500 0.7500 0.7500  4 Mo 3.79, 4 Ag 3.79
Ag 0.0000 0.0000 0.0000  8 Rb 3.79
Ag 0.0000 0.5000 0.5000  8 Rb 3.79
Ag 0.5000 0.0000 0.5000  8 Rb 3.79
Ag 0.5000 0.5000 0.0000  8 Rb 3.79
Mo 0.0000 0.0000 0.5000  8 Rb 3.79
Mo 0.0000 0.5000 0.0000  8 Rb 3.79
Mo 0.5000 0.0000 0.0000  8 Rb 3.79
Mo 0.5000 0.5000 0.5000  8 Rb 3.79

Values from the calculation:
- ΔE_f (eV per atom) = 1.258
- crystal system = cubic
- relative energy among the computed polymorphs (meV per atom) = 90

---

6.
Below is a relaxed structure of Tb2TmGaN, with properties calculated at the PBE level.

Cell lengths 4.7811, 4.7811, 4.6645 Å; angles 90.00, 90.00, 90.00 degrees
Closest atoms and distances in Å follow each position.
Element x y z (fractional)
Tb 0.0000 0.5000 0.0000  2 N 2.39
Tb 0.5000 0.0000 0.0000  2 N 2.39
Tm 0.0000 0.0000 0.5000  2 N 2.33
Ga 0.5000 0.5000 0.5000  8 Tb 3.34, 4 Tm 3.38
N 0.0000 0.0000 0.0000  2 Tm 2.33, 4 Tb 2.39

Values from the calculation:
- crystal system = tetragonal
- E_form (uncorrected) (meV per atom) = -975

---

no.,size of the total moment (μB/atom),E_tot (Ry per atom),D(E_F) (states/eV/atom)
1,0.002,-0.493,1.3868
2,0.000,-0.295,0.9489
3,0.000,-0.594,0.0000
4,0.000,-0.279,0.4031
5,1.288,-0.195,0.1671
6,0.000,-0.440,0.4549